! MgMn2Zn, relaxed, DFT GGA-PBE; values from VASP
! Space-group type ... Cm
! Formation energy from the elements ... 0.22 eV/atom
&SYSTEM
  ibrav = 0, nat = 4, ntyp = 3
/
ATOMIC_SPECIES
Mg 24.30 Mg.upf
Mn 54.94 Mn.upf
Zn 65.41 Zn.upf
CELL_PARAMETERS angstrom
4.8671 0.0058 0.0272
4.0427 2.7102 0.0272
1.0466 0.3190 4.6278
ATOMIC_POSITIONS crystal
Mg 0.2488 0.2488 0.2515
Mn 0.0101 0.0101 0.9786
Mn 0.7501 0.7501 0.7576
Zn 0.4910 0.4910 0.5124